(1)
Entry from Alexandria via LeMat-Bulk: an optimized crystal structure of CsCd2Pt (GGA-PBE).

Properties
Energy relative to the elements = -200.2 meV/atom
Crystal system = trigonal
Electronic total energy = -2.3814 eV per atom
E above lowest polymorph = 0.000 eV per atom

Cell lengths 4.798, 4.798, 7.226 Å; angles 70.61, 70.61, 60.00 degrees
Fractional coordinates of all 4 atoms:
Pt 0.500 0.500 0.500
Cs 0.000 0.000 0.000
Cd 0.191 0.191 0.428
Cd 0.809 0.809 0.572

(2)
Entry from Alexandria via LeMat-Bulk: an optimized crystal structure of Cs2Cd6Pt (GGA-PBE).

Properties
Energy relative to the elements = -92.8 meV/atom
Crystal system = monoclinic
Electronic total energy = -1.5638 eV per atom

Cell lengths 5.845, 8.056, 8.056 Å; angles 54.51, 96.19, 96.19 degrees
Fractional coordinates of all 9 atoms:
Pt 0.000 0.000 0.000
Cd 0.739 0.259 0.648
Cd 0.261 0.741 0.352
Cd 0.368 0.897 0.897
Cd 0.632 0.103 0.103
Cd 0.261 0.352 0.741
Cd 0.739 0.648 0.259
Cs 0.197 0.284 0.284
Cs 0.803 0.716 0.716

(3)
Entry from Alexandria via LeMat-Bulk: an optimized crystal structure of CsCd3Pt (GGA-PBE).

Properties
Energy relative to the elements = -248.1 meV/atom
Crystal system = cubic
Electronic total energy = -2.1761 eV per atom
E above lowest polymorph = 0.000 eV per atom

Cell lengths 5.408, 5.408, 5.408 Å; angles 90.00, 90.00, 90.00 degrees
Fractional coordinates of all 5 atoms:
Cd 0.000 0.000 0.500
Cd 0.500 0.000 0.000
Cd 0.000 0.500 0.000
Pt 0.000 0.000 0.000
Cs 0.500 0.500 0.500

(4)
Entry from Alexandria via LeMat-Bulk: an optimized crystal structure of Cs3Cd7Pt2 (GGA-PBE).

Properties
Energy relative to the elements = -183.1 meV/atom
Crystal system = orthorhombic
Electronic total energy = -1.9371 eV per atom

Cell lengths 5.390, 5.430, 14.316 Å; angles 100.93, 89.99, 90.00 degrees
Fractional coordinates of all 12 atoms:
Pt 0.000 0.904 0.807
Pt 0.000 0.096 0.193
Cd 0.000 0.403 0.806
Cd 0.500 0.098 0.195
Cd 0.000 0.193 0.387
Cd 0.500 0.902 0.805
Cd 0.000 0.807 0.613
Cd 0.000 0.597 0.194
Cd 0.000 0.000 0.000
Cs 0.500 0.694 0.388
Cs 0.500 0.500 0.000
Cs 0.500 0.306 0.612

(5)
Entry from Alexandria via LeMat-Bulk: an optimized crystal structure of CsCd3Pt (GGA-PBE).

Properties
Energy relative to the elements = -19.4 meV/atom
Crystal system = tetragonal
Electronic total energy = -1.9473 eV per atom
E above lowest polymorph = 0.229 eV per atom

Cell lengths 4.043, 4.043, 9.317 Å; angles 90.00, 90.00, 90.00 degrees
Fractional coordinates of all 5 atoms:
Pt 0.500 0.500 0.657
Cd 0.000 0.000 0.692
Cd 0.500 0.000 0.428
Cd 0.000 0.500 0.428
Cs 0.000 0.000 0.059

(6)
Entry from Alexandria via LeMat-Bulk: an optimized crystal structure of CsCd4Pt (GGA-PBE).

Properties
Energy relative to the elements = -131.0 meV/atom
Crystal system = orthorhombic
Electronic total energy = -1.8901 eV per atom

Cell lengths 5.220, 8.240, 9.048 Å; angles 90.00, 106.77, 90.00 degrees
Fractional coordinates of all 12 atoms:
Pt 0.096 0.750 0.193
Pt 0.904 0.250 0.807
Cd 0.000 0.500 0.000
Cd 0.791 0.019 0.583
Cd 0.209 0.519 0.417
Cd 0.209 0.981 0.417
Cd 0.652 0.750 0.303
Cd 0.791 0.481 0.583
Cd 0.348 0.250 0.697
Cd 0.000 0.000 0.000
Cs 0.405 0.750 0.811
Cs 0.595 0.250 0.189

(7)
Entry from Alexandria via LeMat-Bulk: an optimized crystal structure of CsCd3Pt (GGA-PBE).

Properties
Energy relative to the elements = -37.8 meV/atom
Crystal system = orthorhombic
Electronic total energy = -1.9657 eV per atom
E above lowest polymorph = 0.210 eV per atom

Cell lengths 7.113, 12.179, 7.014 Å; angles 90.00, 90.00, 90.00 degrees
Fractional coordinates of all 20 atoms:
Cd 0.296 0.250 0.799
Cd 0.514 0.875 0.537
Cd 0.486 0.125 0.463
Cd 0.486 0.375 0.463
Cd 0.514 0.625 0.537
Cd 0.014 0.625 0.963
Cd 0.986 0.375 0.037
Cd 0.986 0.125 0.037
Cd 0.704 0.750 0.201
Cd 0.014 0.875 0.963
Cd 0.796 0.250 0.701
Cd 0.204 0.750 0.299
Cs 0.000 0.500 0.500
Cs 0.500 0.500 0.000
Cs 0.500 0.000 0.000
Cs 0.000 0.000 0.500
Pt 0.777 0.250 0.304
Pt 0.277 0.250 0.196
Pt 0.723 0.750 0.804
Pt 0.223 0.750 0.696

(8)
Entry from Alexandria via LeMat-Bulk: an optimized crystal structure of Cs3CdPt (GGA-PBE).

Properties
Energy relative to the elements = -107.4 meV/atom
Crystal system = tetragonal
Electronic total energy = -2.0107 eV per atom
E above lowest polymorph = 0.000 eV per atom

Cell lengths 15.971, 15.971, 5.298 Å; angles 90.00, 90.00, 90.00 degrees
Fractional coordinates of all 20 atoms:
Cs 0.108 0.679 0.500
Cs 0.595 0.405 0.000
Cs 0.392 0.179 0.000
Cs 0.905 0.905 0.500
Cs 0.179 0.392 0.000
Cs 0.679 0.108 0.500
Cs 0.405 0.595 0.000
Cs 0.821 0.608 0.000
Cs 0.095 0.095 0.500
Cs 0.892 0.321 0.500
Cs 0.321 0.892 0.500
Cs 0.608 0.821 0.000
Pt 0.117 0.883 0.500
Pt 0.883 0.117 0.500
Pt 0.617 0.617 0.000
Pt 0.383 0.383 0.000
Cd 0.118 0.882 0.000
Cd 0.618 0.618 0.500
Cd 0.382 0.382 0.500
Cd 0.882 0.118 0.000

(9)
Entry from Alexandria via LeMat-Bulk: an optimized crystal structure of Cs3Cd2Pt4 (GGA-PBE).

Properties
Energy relative to the elements = -195.0 meV/atom
Crystal system = monoclinic
Electronic total energy = -3.3677 eV per atom

Cell lengths 4.669, 6.980, 9.488 Å; angles 107.72, 90.00, 109.54 degrees
Fractional coordinates of all 9 atoms:
Pt 0.924 0.847 0.372
Pt 0.076 0.153 0.628
Pt 0.227 0.455 0.922
Pt 0.773 0.545 0.078
Cs 0.634 0.268 0.367
Cs 0.366 0.732 0.633
Cs 0.000 0.000 0.000
Cd 0.660 0.320 0.771
Cd 0.340 0.680 0.229

(10)
Entry from Alexandria via LeMat-Bulk: an optimized crystal structure of CsCd3Pt (GGA-PBE).

Properties
Energy relative to the elements = -160.1 meV/atom
Crystal system = monoclinic
Electronic total energy = -2.0880 eV per atom
E above lowest polymorph = 0.088 eV per atom

Cell lengths 4.730, 8.228, 9.114 Å; angles 90.00, 90.03, 90.00 degrees
Fractional coordinates of all 10 atoms:
Cd 0.250 0.070 0.924
Cd 0.247 0.750 0.325
Cd 0.750 0.930 0.076
Cd 0.753 0.250 0.675
Cd 0.250 0.430 0.924
Cd 0.750 0.570 0.076
Cs 0.252 0.250 0.319
Cs 0.748 0.750 0.681
Pt 0.750 0.250 0.971
Pt 0.250 0.750 0.029

(11)
Entry from Alexandria via LeMat-Bulk: an optimized crystal structure of CsCd2Pt (GGA-PBE).

Properties
Energy relative to the elements = -187.0 meV/atom
Crystal system = orthorhombic
Electronic total energy = -2.3682 eV per atom
E above lowest polymorph = 0.013 eV per atom

Cell lengths 5.210, 9.281, 11.351 Å; angles 89.99, 90.00, 90.00 degrees
Fractional coordinates of all 16 atoms:
Cs 0.750 0.636 0.610
Cs 0.250 0.364 0.390
Cs 0.250 0.864 0.110
Cs 0.750 0.136 0.890
Cd 0.750 0.077 0.561
Cd 0.250 0.423 0.061
Cd 0.750 0.640 0.259
Cd 0.250 0.923 0.439
Cd 0.250 0.860 0.759
Cd 0.750 0.140 0.241
Cd 0.250 0.360 0.741
Cd 0.750 0.577 0.939
Pt 0.750 0.896 0.363
Pt 0.250 0.603 0.862
Pt 0.250 0.104 0.637
Pt 0.750 0.397 0.138

(12)
Entry from Alexandria via LeMat-Bulk: an optimized crystal structure of CsCd3Pt (GGA-PBE).

Properties
Energy relative to the elements = -96.3 meV/atom
Crystal system = monoclinic
Electronic total energy = -2.0242 eV per atom
E above lowest polymorph = 0.152 eV per atom

Cell lengths 19.118, 8.732, 8.732 Å; angles 145.52, 151.29, 28.71 degrees
Fractional coordinates of all 10 atoms:
Cs 0.093 0.053 0.947
Cs 0.907 0.947 0.053
Pt 0.540 0.880 0.120
Pt 0.460 0.120 0.880
Cd 0.189 0.292 0.708
Cd 0.407 0.335 0.665
Cd 0.593 0.665 0.335
Cd 0.811 0.708 0.292
Cd 0.586 0.496 0.504
Cd 0.414 0.504 0.496